Ba2TlZnPt after structural relaxation, computed with PBE-GGA.

Calculated values
DOS at the Fermi energy (states/eV/f.u.): 4.0
Formation enthalpy at 0 K (eV/atom): -0.418

The structure in extended XYZ format:
```
5
Lattice="6.134 0.000 0.000 0.000 6.134 0.000 0.000 0.000 4.921" Properties=species:S:1:pos:R:3 pbc="T T T"
Ba 0.000 3.067 0.000
Ba 3.067 0.000 0.000
Tl 0.000 0.000 2.460
Zn 3.067 3.067 2.460
Pt 3.067 3.067 0.000
```



BaTm3Pt after structural relaxation, computed with PBE-GGA.

Calculated values
DOS at the Fermi energy (states/eV/f.u.): 5.4
Formation enthalpy at 0 K (eV/atom): -0.433

The structure in extended XYZ format:
```
5
Lattice="5.536 0.000 0.000 0.000 5.536 0.000 0.000 0.000 5.536" Properties=species:S:1:pos:R:3 pbc="T T T"
Ba 0.000 0.000 0.000
Tm 0.000 2.768 2.768
Tm 2.768 0.000 2.768
Tm 2.768 2.768 0.000
Pt 2.768 2.768 2.768
```



BaTmPt after structural relaxation, computed with PBE-GGA.

Calculated values
DOS at the Fermi energy (states/eV/f.u.): 3.8
Formation enthalpy at 0 K (eV/atom): -0.820

The structure in extended XYZ format:
```
6
Lattice="4.928 0.000 0.000 0.000 4.928 0.000 0.000 0.000 7.703" Properties=species:S:1:pos:R:3 pbc="T T T"
Ba 1.232 1.232 0.962
Ba 3.696 3.696 6.741
Tm 1.232 3.696 3.851
Tm 3.696 1.232 3.851
Pt 1.232 1.232 5.266
Pt 3.696 3.696 2.437
```



BaTmPt after structural relaxation, computed with PBE-GGA.

Calculated values
DOS at the Fermi energy (states/eV/f.u.): 2.7
Formation enthalpy at 0 K (eV/atom): -0.673

The structure in extended XYZ format:
```
3
Lattice="-1.844 1.844 6.799 1.844 -1.844 6.799 1.844 1.844 -6.799" Properties=species:S:1:pos:R:3 pbc="T T T"
Ba 0.000 0.000 0.000
Tm 0.000 0.000 3.486
Pt 0.000 0.000 9.090
```



BaUPt4 after structural relaxation, computed with PBE-GGA.

Calculated values
DOS at the Fermi energy (states/eV/f.u.): 9.3
Formation enthalpy at 0 K (eV/atom): -0.538

The structure in extended XYZ format:
```
6
Lattice="0.000 3.937 3.937 3.937 0.000 3.937 3.937 3.937 0.000" Properties=species:S:1:pos:R:3 pbc="T T T"
Ba 0.000 0.000 0.000
U 1.968 1.968 1.968
Pt 4.915 2.958 2.958
Pt 2.958 4.915 2.958
Pt 2.958 2.958 4.915
Pt 4.915 4.915 4.915
```



BaUPt2 after structural relaxation, computed with PBE-GGA.

Calculated values
DOS at the Fermi energy (states/eV/f.u.): 7.7
Formation enthalpy at 0 K (eV/atom): -0.607

The structure in extended XYZ format:
```
4
Lattice="3.597 0.000 0.000 0.000 3.597 0.000 0.000 0.000 7.794" Properties=species:S:1:pos:R:3 pbc="T T T"
Ba 0.000 0.000 0.000
U 0.000 0.000 3.897
Pt 1.799 1.799 2.422
Pt 1.799 1.799 5.372
```



Ba2VPt after structural relaxation, computed with PBE-GGA.

Calculated values
DOS at the Fermi energy (states/eV/f.u.): 4.8
Formation enthalpy at 0 K (eV/atom): 0.415

The structure in extended XYZ format:
```
8
Lattice="-4.512 4.512 3.334 4.512 -4.512 3.334 4.512 4.512 -3.334" Properties=species:S:1:pos:R:3 pbc="T T T"
Ba 6.769 1.812 -0.833
Ba 1.812 2.256 0.833
Ba -2.256 2.700 2.500
Ba 2.700 2.256 4.167
V 4.512 0.000 1.667
V 0.000 0.000 3.334
Pt 0.000 0.000 0.000
Pt 0.000 4.512 1.667
```



Ba2VPt after structural relaxation, computed with PBE-GGA.

Calculated values
DOS at the Fermi energy (states/eV/f.u.): 3.6
Formation enthalpy at 0 K (eV/atom): 0.269

The structure in extended XYZ format:
```
4
Lattice="0.000 3.967 3.967 3.967 0.000 3.967 3.967 3.967 0.000" Properties=species:S:1:pos:R:3 pbc="T T T"
Ba 1.983 1.983 1.983
Ba 5.950 5.950 5.950
V 0.000 0.000 0.000
Pt 3.967 3.967 3.967
```



Ba3VPt after structural relaxation, computed with PBE-GGA.

Calculated values
DOS at the Fermi energy (states/eV/f.u.): 8.5
Formation enthalpy at 0 K (eV/atom): 0.220

The structure in extended XYZ format:
```
5
Lattice="6.154 0.000 0.000 0.000 6.154 0.000 0.000 0.000 6.154" Properties=species:S:1:pos:R:3 pbc="T T T"
Ba 0.000 0.000 3.077
Ba 0.000 3.077 0.000
Ba 3.077 0.000 0.000
V 3.077 3.077 3.077
Pt 0.000 0.000 0.000
```



BaVPt after structural relaxation, computed with PBE-GGA.

Calculated values
DOS at the Fermi energy (states/eV/f.u.): 2.3
Formation enthalpy at 0 K (eV/atom): -0.161

The structure in extended XYZ format:
```
12
Lattice="6.942 0.000 0.000 0.000 6.942 0.000 0.000 0.000 6.942" Properties=species:S:1:pos:R:3 pbc="T T T"
Ba 0.756 0.756 0.756
Ba 2.714 6.185 4.227
Ba 4.227 2.714 6.185
Ba 6.185 4.227 2.714
V 0.689 4.160 6.253
V 2.782 2.782 2.782
V 4.160 6.253 0.689
V 6.253 0.689 4.160
Pt 1.130 2.341 4.601
Pt 2.341 4.601 1.130
Pt 4.601 1.130 2.341
Pt 5.812 5.812 5.812
```



BaV3Pt after structural relaxation, computed with PBE-GGA.

Calculated values
DOS at the Fermi energy (states/eV/f.u.): 9.0
Formation enthalpy at 0 K (eV/atom): 2.367

The structure in extended XYZ format:
```
5
Lattice="4.695 0.000 0.000 0.000 4.695 0.000 0.000 0.000 4.695" Properties=species:S:1:pos:R:3 pbc="T T T"
Ba 0.000 0.000 0.000
V 0.000 0.000 2.348
V 0.000 2.348 0.000
V 2.348 0.000 0.000
Pt 2.348 2.348 2.348
```



BaV3Pt after structural relaxation, computed with PBE-GGA.

Calculated values
DOS at the Fermi energy (states/eV/f.u.): 5.6
Formation enthalpy at 0 K (eV/atom): 0.725

The structure in extended XYZ format:
```
5
Lattice="4.975 0.000 0.000 0.000 4.975 0.000 0.000 0.000 4.975" Properties=species:S:1:pos:R:3 pbc="T T T"
Ba 0.000 0.000 0.000
V 0.000 2.488 2.488
V 2.488 0.000 2.488
V 2.488 2.488 0.000
Pt 2.488 2.488 2.488
```



BaY2VPt after structural relaxation, computed with PBE-GGA.

Calculated values
DOS at the Fermi energy (states/eV/f.u.): 3.6
Formation enthalpy at 0 K (eV/atom): 1.545

The structure in extended XYZ format:
```
5
Lattice="5.527 0.000 0.000 0.000 5.527 0.000 0.000 0.000 4.746" Properties=species:S:1:pos:R:3 pbc="T T T"
Ba 0.000 0.000 0.000
Y 0.000 2.764 0.000
Y 2.764 0.000 0.000
V 0.000 0.000 2.373
Pt 2.764 2.764 2.373
```



Ba2PtW after structural relaxation, computed with PBE-GGA.

Calculated values
DOS at the Fermi energy (states/eV/f.u.): 5.2
Formation enthalpy at 0 K (eV/atom): 0.318

The structure in extended XYZ format:
```
4
Lattice="4.411 0.000 0.000 0.000 2.588 5.825 0.000 -2.588 5.825" Properties=species:S:1:pos:R:3 pbc="T T T"
Ba 0.000 0.000 0.000
Ba 2.205 0.000 3.398
Pt 0.000 0.000 8.107
W 2.205 0.000 7.009
```



BaPtW4 after structural relaxation, computed with PBE-GGA.

Calculated values
DOS at the Fermi energy (states/eV/f.u.): 6.5
Formation enthalpy at 0 K (eV/atom): 0.967

The structure in extended XYZ format:
```
6
Lattice="0.000 3.893 3.893 3.893 0.000 3.893 3.893 3.893 0.000" Properties=species:S:1:pos:R:3 pbc="T T T"
Ba 0.000 0.000 0.000
Pt 5.840 5.840 5.840
W 2.918 2.918 2.918
W 4.868 4.868 2.918
W 4.868 2.918 4.868
W 2.918 4.868 4.868
```



BaPt2W after structural relaxation, computed with PBE-GGA.

Calculated values
DOS at the Fermi energy (states/eV/f.u.): 3.6
Formation enthalpy at 0 K (eV/atom): -0.160

The structure in extended XYZ format:
```
4
Lattice="3.872 -2.236 0.000 3.872 2.236 0.000 -2.591 0.000 6.077" Properties=species:S:1:pos:R:3 pbc="T T T"
Ba 0.000 0.000 0.000
Pt 0.000 0.000 3.457
Pt 2.582 0.000 2.525
W 5.163 0.000 2.706
```



BaPt2W after structural relaxation, computed with PBE-GGA.

Calculated values
DOS at the Fermi energy (states/eV/f.u.): 7.1
Formation enthalpy at 0 K (eV/atom): 0.665

The structure in extended XYZ format:
```
4
Lattice="0.000 3.510 3.510 3.510 0.000 3.510 3.510 3.510 0.000" Properties=species:S:1:pos:R:3 pbc="T T T"
Ba 0.000 0.000 0.000
Pt 1.755 1.755 1.755
Pt 5.265 5.265 5.265
W 3.510 3.510 3.510
```



Ba2PtW after structural relaxation, computed with PBE-GGA.

Calculated values
DOS at the Fermi energy (states/eV/f.u.): 6.4
Formation enthalpy at 0 K (eV/atom): 0.398

The structure in extended XYZ format:
```
4
Lattice="3.567 0.000 0.000 0.000 3.567 0.000 0.000 0.000 9.920" Properties=species:S:1:pos:R:3 pbc="T T T"
Ba 0.000 0.000 0.000
Ba 1.783 1.783 4.066
Pt 0.000 0.000 6.503
W 1.783 1.783 7.324
```



BaPt2W after structural relaxation, computed with PBE-GGA.

Calculated values
DOS at the Fermi energy (states/eV/f.u.): 1.8
Formation enthalpy at 0 K (eV/atom): 0.775

The structure in extended XYZ format:
```
4
Lattice="0.000 3.403 3.403 3.403 0.000 3.403 3.403 3.403 0.000" Properties=species:S:1:pos:R:3 pbc="T T T"
Ba 0.000 0.000 0.000
Pt 1.701 1.701 1.701
Pt 3.403 3.403 3.403
W 5.104 5.104 5.104
```



BaPt2W after structural relaxation, computed with PBE-GGA.

Calculated values
DOS at the Fermi energy (states/eV/f.u.): 5.2
Formation enthalpy at 0 K (eV/atom): 0.244

The structure in extended XYZ format:
```
8
Lattice="-3.841 3.841 3.717 3.841 -3.841 3.717 3.841 3.841 -3.717" Properties=species:S:1:pos:R:3 pbc="T T T"
Ba 0.000 0.000 0.000
Ba 0.000 3.841 1.859
Pt 1.920 2.630 -0.929
Pt 5.051 1.920 0.929
Pt 1.920 1.211 2.788
Pt -1.211 1.920 4.647
W 3.841 0.000 1.859
W 0.000 0.000 3.717
```